No. 1
The following is a DFT calculation (PBE) of NaIn2Ge after structural relaxation.

Lattice parameters (Å, degrees): 3.6703 3.6703 7.5817 90.00 90.00 90.00
Closest atoms and distances in Å follow each position.
Element x y z (fractional)
Na: 0.0000 0.0000 0.0000  8 In 3.38, 4 Na 3.67
In: 0.5000 0.5000 0.2857  4 Ge 3.06, 1 In 3.25, 4 Na 3.38
In: 0.5000 0.5000 0.7143  4 Ge 3.06, 1 In 3.25, 4 Na 3.38
Ge: 0.0000 0.0000 0.5000  8 In 3.06

Output
ΔE_f   0.01 eV/atom
D(E_F)   0.518 states/eV/atom
E   -2.8406 eV/atom



No. 2
The following is a DFT calculation (PBE) of Ac2CdTeO8 after structural relaxation.

Lattice parameters (Å, degrees): 5.7643 5.7643 6.4282 90.00 90.00 120.00
Closest atoms and distances in Å follow each position.
Element x y z (fractional)
Ac: 0.3333 0.6667 0.3388  1 O 2.13
Ac: 0.6667 0.3333 0.6612  1 O 2.13
Cd: 0.0000 0.0000 0.0000  6 O 2.61
Te: 0.0000 0.0000 0.5000  6 O 1.94
O: 0.1581 0.3162 0.6762  1 Te 1.94
O: 0.1581 0.8419 0.6762  1 Te 1.94
O: 0.3162 0.1581 0.3238  1 Te 1.94
O: 0.3333 0.6667 0.0081  1 Ac 2.13
O: 0.6667 0.3333 0.9919  1 Ac 2.13
O: 0.6838 0.8419 0.6762  1 Te 1.94
O: 0.8419 0.1581 0.3238  1 Te 1.94
O: 0.8419 0.6838 0.3238  1 Te 1.94

Output
D(E_F)   0.132 states/eV/atom
Uncorrected formation energy   -18.63 eV/f.u.
E   -5.8806 eV/atom



No. 3
The following is a DFT calculation (PBE) of AlTe2F after structural relaxation.

Lattice parameters (Å, degrees): 3.1966 3.1966 29.1862 90.00 90.00 120.00
Closest atoms and distances in Å follow each position.
Element x y z (fractional)
Al: 0.0000 0.0000 0.0000  2 Te 2.74
Al: 0.3333 0.6667 0.6667  2 Te 2.74
Al: 0.6667 0.3333 0.3333  2 Te 2.74
Te: 0.0000 0.0000 0.0939  1 Al 2.74, 3 F 2.81
Te: 0.0000 0.0000 0.9061  1 Al 2.74, 3 F 2.81
Te: 0.3333 0.6667 0.5727  1 Al 2.74, 3 F 2.81
Te: 0.3333 0.6667 0.7606  1 Al 2.74, 3 F 2.81
Te: 0.6667 0.3333 0.2394  1 Al 2.74, 3 F 2.81
Te: 0.6667 0.3333 0.4273  1 Al 2.74, 3 F 2.81
F: 0.0000 0.0000 0.5000  6 Te 2.81
F: 0.3333 0.6667 0.1667  6 Te 2.81
F: 0.6667 0.3333 0.8333  6 Te 2.81

Output
D(E_F)   0.742 states/eV/atom
Uncorrected formation energy   -1.06 eV/f.u.
E   -3.2390 eV/atom
Relative energy among the computed polymorphs   356.4 meV per atom



Copy entry 3 word for word.
The following is a DFT calculation (PBE) of AlTe2F after structural relaxation.

Lattice parameters (Å, degrees): 3.1966 3.1966 29.1862 90.00 90.00 120.00
Closest atoms and distances in Å follow each position.
Element x y z (fractional)
Al: 0.0000 0.0000 0.0000  2 Te 2.74
Al: 0.3333 0.6667 0.6667  2 Te 2.74
Al: 0.6667 0.3333 0.3333  2 Te 2.74
Te: 0.0000 0.0000 0.0939  1 Al 2.74, 3 F 2.81
Te: 0.0000 0.0000 0.9061  1 Al 2.74, 3 F 2.81
Te: 0.3333 0.6667 0.5727  1 Al 2.74, 3 F 2.81
Te: 0.3333 0.6667 0.7606  1 Al 2.74, 3 F 2.81
Te: 0.6667 0.3333 0.2394  1 Al 2.74, 3 F 2.81
Te: 0.6667 0.3333 0.4273  1 Al 2.74, 3 F 2.81
F: 0.0000 0.0000 0.5000  6 Te 2.81
F: 0.3333 0.6667 0.1667  6 Te 2.81
F: 0.6667 0.3333 0.8333  6 Te 2.81

Output
D(E_F)   0.742 states/eV/atom
Uncorrected formation energy   -1.06 eV/f.u.
E   -3.2390 eV/atom
Relative energy among the computed polymorphs   356.4 meV per atom